Entry 1:
DFT (PBE-GGA) results for a geometry-optimized ErTiCoTc structure.

abc: 6.378 6.378 6.378
angles: 90.00 90.00 90.00
Space group F-43m (No. 216)
Asymmetric unit:
1 Er 0.000 0.000 0.000 (multiplicity 4)
2 Ti 0.000 0.000 0.500 (multiplicity 4)
3 Co 0.250 0.250 0.750 (multiplicity 4)
4 Tc 0.250 0.250 0.250 (multiplicity 4)

***

Entry 2:
DFT (PBE-GGA) results for a geometry-optimized TbTmMgCu structure.

abc: 7.213 7.213 7.213
angles: 90.00 90.00 90.00
Space group F-43m (No. 216)
Asymmetric unit:
1 Tb 0.000 0.000 0.000 (multiplicity 4)
2 Tm 0.000 0.000 0.500 (multiplicity 4)
3 Mg 0.250 0.250 0.750 (multiplicity 4)
4 Cu 0.250 0.250 0.250 (multiplicity 4)

E above lowest polymorph = 86 meV per atom

***

Entry 3:
DFT (PBE-GGA) results for a geometry-optimized ErGa4CoRh2 structure.

abc: 4.1799 4.1799 25.3203
angles: 90.00 90.00 120.00
Space group R-3m (No. 166, hexagonal axes)
Asymmetric unit:
1 Er 0.0000 0.0000 0.0000 (multiplicity 3)
2 Ga 0.0000 0.0000 0.1337 (multiplicity 6)
3 Ga 0.0000 0.0000 0.3999 (multiplicity 6)
4 Co 0.0000 0.0000 0.5000 (multiplicity 3)
5 Rh 0.0000 0.0000 0.2360 (multiplicity 6)

***

Number 1: DFT total energy -122.566 eV/cell. Number 2: DFT total energy -60.217 eV/cell. Number 3: DFT total energy -129.547 eV/cell.